## Ba2LaTa (PBE)

Data for Ba2LaTa after structural relaxation.

Cell and atoms, written as CIF:
```
data_Ba2LaTa
_cell_length_a 12.809
_cell_length_b 12.809
_cell_length_c 12.809
_cell_angle_alpha 16.09
_cell_angle_beta 16.09
_cell_angle_gamma 16.09
_space_group_name_H-M_alt 'P 1'
_space_group_IT_number 1
loop_
_space_group_symop_operation_xyz
'x,y,z'
loop_
_atom_site_label
_atom_site_fract_x
_atom_site_fract_y
_atom_site_fract_z
Ba1 0.239 0.239 0.239
Ba2 0.761 0.761 0.761
La1 0.000 0.000 0.000
Ta1 0.500 0.500 0.500
```

Its energy above the most stable polymorph in this dataset is 296.2 meV/atom. The total DFT energy (no corrections) comes out at -4.254 eV/atom. For the magnetic moment, the calculation gives 0.008 μB per formula unit. The formation energy comes out at 0.9028 eV per atom.

## AlIn2N (PBE)

Data for AlIn2N after structural relaxation.

Cell and atoms, written as CIF:
```
data_AlIn2N
_cell_length_a 6.495
_cell_length_b 6.495
_cell_length_c 6.495
_cell_angle_alpha 123.98
_cell_angle_beta 123.98
_cell_angle_gamma 83.23
_space_group_name_H-M_alt 'P 1'
_space_group_IT_number 1
loop_
_space_group_symop_operation_xyz
'x,y,z'
loop_
_atom_site_label
_atom_site_fract_x
_atom_site_fract_y
_atom_site_fract_z
Al1 0.000 0.000 0.000
Al2 0.750 0.250 0.500
In1 0.204 0.625 0.079
In2 0.375 0.454 0.579
In3 0.546 0.125 0.921
In4 0.875 0.796 0.421
N1 0.250 0.750 0.500
N2 0.500 0.500 0.000
```

Its uncorrected formation energy is 0.4212 eV per atom. Its energy above the most stable polymorph in this dataset is 0.0 meV/atom. The total DFT energy (no corrections) comes out at -3.965 eV/atom. For the magnetic moment, the calculation gives 0.000 μB per formula unit.

## AcTbHo2 (PBE)

Data for AcTbHo2 after structural relaxation.

Cell and atoms, written as CIF:
```
data_AcTbHo2
_cell_length_a 12.828
_cell_length_b 12.828
_cell_length_c 12.828
_cell_angle_alpha 15.99
_cell_angle_beta 15.99
_cell_angle_gamma 15.99
_space_group_name_H-M_alt 'P 1'
_space_group_IT_number 1
loop_
_space_group_symop_operation_xyz
'x,y,z'
loop_
_atom_site_label
_atom_site_fract_x
_atom_site_fract_y
_atom_site_fract_z
Ac1 0.000 0.000 0.000
Tb1 0.500 0.500 0.500
Ho1 0.093 0.093 0.093
Ho2 0.907 0.907 0.907
```

Its energy above the most stable polymorph in this dataset is 141.0 meV/atom. The total DFT energy (no corrections) comes out at -4.284 eV/atom. For the magnetic moment, the calculation gives 0.000 μB per formula unit. The formation energy comes out at 0.1898 eV per atom.

## Sr3Cd8Ga3 (PBE)

Data for Sr3Cd8Ga3 after structural relaxation.

Cell and atoms, written as CIF:
```
data_Sr3Cd8Ga3
_cell_length_a 9.099
_cell_length_b 9.099
_cell_length_c 9.099
_cell_angle_alpha 148.88
_cell_angle_beta 109.22
_cell_angle_gamma 79.33
_space_group_name_H-M_alt 'P 1'
_space_group_IT_number 1
loop_
_space_group_symop_operation_xyz
'x,y,z'
loop_
_atom_site_label
_atom_site_fract_x
_atom_site_fract_y
_atom_site_fract_z
Sr1 0.000 0.000 0.000
Sr2 0.311 0.311 0.000
Sr3 0.689 0.689 0.000
Cd1 0.025 0.663 0.361
Cd2 0.157 0.872 0.285
Cd3 0.302 0.663 0.639
Cd4 0.412 0.128 0.285
Cd5 0.588 0.872 0.715
Cd6 0.698 0.337 0.361
Cd7 0.843 0.128 0.715
Cd8 0.975 0.337 0.639
Ga1 0.303 0.500 0.803
Ga2 0.500 0.000 0.500
Ga3 0.697 0.500 0.197
```

The total DFT energy (no corrections) comes out at -1.801 eV/atom. For the magnetic moment, the calculation gives 0.000 μB per formula unit. The formation energy comes out at -0.2690 eV per atom.

Which of these has the highest magnetic moment? Ba2LaTa